Record 1
{"formula": "TiTc2Hg2", "functional": "PBE", "state": "optimized geometry", "m_tot_mub_per_fu": 0.00, "space_group": "I4/mmm, No. 139", "lattice_angstrom": [[-1.779, 1.779, 7.479], [1.779, -1.779, 7.479], [1.779, 1.779, -7.479]], "species": ["Ti", "Tc", "Tc", "Hg", "Hg"], "fractional_positions": [[0.000, 0.000, 0.000], [0.250, 0.750, 0.500], [0.750, 0.250, 0.500], [0.401, 0.401, 0.000], [0.599, 0.599, 0.000]]}

=====

Record 2
{"formula": "Ti3TcHg", "functional": "PBE", "state": "optimized geometry", "m_tot_mub_per_fu": 1.50, "space_group": "Pm-3m, No. 221", "lattice_angstrom": [[4.726, 0.000, 0.000], [0.000, 4.726, 0.000], [0.000, 0.000, 4.726]], "species": ["Ti", "Ti", "Ti", "Tc", "Hg"], "fractional_positions": [[0.000, 0.000, 0.500], [0.000, 0.500, 0.000], [0.500, 0.000, 0.000], [0.000, 0.000, 0.000], [0.500, 0.500, 0.500]]}

=====

Record 3
{"formula": "TiTcHg3", "functional": "PBE", "state": "optimized geometry", "m_tot_mub_per_fu": 1.37, "space_group": "Pm-3m, No. 221", "lattice_angstrom": [[5.176, 0.000, 0.000], [0.000, 5.176, 0.000], [0.000, 0.000, 5.176]], "species": ["Ti", "Tc", "Hg", "Hg", "Hg"], "fractional_positions": [[0.000, 0.000, 0.000], [0.500, 0.500, 0.500], [0.000, 0.500, 0.500], [0.500, 0.000, 0.500], [0.500, 0.500, 0.000]]}

=====

Record 4
{"formula": "Ti2TcHg", "functional": "PBE", "state": "optimized geometry", "m_tot_mub_per_fu": 0.00, "space_group": "I-42d, No. 122", "lattice_angstrom": [[-3.594, 3.594, 2.809], [3.594, -3.594, 2.809], [3.594, 3.594, -2.809]], "species": ["Ti", "Ti", "Ti", "Ti", "Tc", "Tc", "Hg", "Hg"], "fractional_positions": [[0.087, 0.625, 0.962], [0.375, 0.337, 0.462], [0.663, 0.125, 0.038], [0.875, 0.913, 0.538], [0.000, 0.000, 0.000], [0.750, 0.250, 0.500], [0.250, 0.750, 0.500], [0.500, 0.500, 0.000]]}

=====

Record 5
{"formula": "ZrTiTcHg", "functional": "PBE", "state": "optimized geometry", "m_tot_mub_per_fu": 0.00, "space_group": "P4mm, No. 99", "lattice_angstrom": [[3.231, 0.000, 0.000], [0.000, 3.231, 0.000], [0.000, 0.000, 7.103]], "species": ["Zr", "Ti", "Tc", "Hg"], "fractional_positions": [[0.000, 0.000, 0.000], [0.000, 0.000, 0.570], [0.500, 0.500, 0.762], [0.500, 0.500, 0.306]]}

=====

Record 6
{"formula": "ZrTiTcHg", "functional": "PBE", "state": "optimized geometry", "m_tot_mub_per_fu": 0.00, "space_group": "F-43m, No. 216", "lattice_angstrom": [[0.000, 3.322, 3.322], [3.322, 0.000, 3.322], [3.322, 3.322, 0.000]], "species": ["Zr", "Ti", "Tc", "Hg"], "fractional_positions": [[0.000, 0.000, 0.000], [0.500, 0.500, 0.500], [0.750, 0.750, 0.750], [0.250, 0.250, 0.250]]}

=====

Record 7
{"formula": "TlTcHg2", "functional": "PBE", "state": "optimized geometry", "m_tot_mub_per_fu": 1.78, "space_group": "P4mm, No. 99", "lattice_angstrom": [[3.068, 0.000, 0.000], [0.000, 3.068, 0.000], [0.000, 0.000, 9.604]], "species": ["Tl", "Tc", "Hg", "Hg"], "fractional_positions": [[0.000, 0.000, 0.000], [0.500, 0.500, 0.783], [0.000, 0.000, 0.580], [0.500, 0.500, 0.298]]}

=====

Record 8
{"formula": "TlTc3Hg", "functional": "PBE", "state": "optimized geometry", "m_tot_mub_per_fu": 7.63, "space_group": "Pm-3m, No. 221", "lattice_angstrom": [[5.051, 0.000, 0.000], [0.000, 5.051, 0.000], [0.000, 0.000, 5.051]], "species": ["Tl", "Tc", "Tc", "Tc", "Hg"], "fractional_positions": [[0.000, 0.000, 0.000], [0.000, 0.500, 0.500], [0.500, 0.000, 0.500], [0.500, 0.500, 0.000], [0.500, 0.500, 0.500]]}

=====

Record 9
{"formula": "Tl2TcHg", "functional": "PBE", "state": "optimized geometry", "m_tot_mub_per_fu": 1.86, "space_group": "Pmmm, No. 47", "lattice_angstrom": [[3.209, 0.000, 0.000], [0.000, 5.200, 0.000], [0.000, 0.000, 5.491]], "species": ["Tl", "Tl", "Tc", "Hg"], "fractional_positions": [[0.000, 0.000, 0.000], [0.500, 0.000, 0.500], [0.000, 0.500, 0.500], [0.500, 0.500, 0.000]]}

=====

Record 10
{"formula": "TlTc2Hg", "functional": "PBE", "state": "optimized geometry", "m_tot_mub_per_fu": 0.00, "space_group": "P2/m, No. 10", "lattice_angstrom": [[3.309, 0.000, 0.000], [0.000, 4.794, 0.000], [-0.167, 0.000, 5.050]], "species": ["Tl", "Tc", "Tc", "Hg"], "fractional_positions": [[0.000, 0.000, 0.000], [0.174, 0.500, 0.307], [0.826, 0.500, 0.693], [0.500, 0.000, 0.500]]}

=====

Record 11
{"formula": "Tl2TcHg", "functional": "PBE", "state": "optimized geometry", "m_tot_mub_per_fu": 0.00, "space_group": "C2/m, No. 12", "lattice_angstrom": [[7.468, -1.470, 0.000], [7.468, 1.470, 0.000], [-1.589, 0.000, 4.613]], "species": ["Tl", "Tl", "Tc", "Hg"], "fractional_positions": [[0.176, 0.176, 0.176], [0.824, 0.824, 0.824], [0.500, 0.500, 0.000], [0.000, 0.000, 0.500]]}

=====

Record 12
{"formula": "TlTc2Hg", "functional": "PBE", "state": "optimized geometry", "m_tot_mub_per_fu": 0.00, "space_group": "C2/m, No. 12", "lattice_angstrom": [[5.132, -1.546, 0.000], [5.132, 1.546, 0.000], [-2.236, 0.000, 5.184]], "species": ["Tl", "Tc", "Tc", "Hg"], "fractional_positions": [[0.000, 0.000, 0.000], [0.255, 0.255, 0.670], [0.745, 0.745, 0.330], [0.500, 0.500, 0.500]]}

=====

Record 13
{"formula": "TlTcHg2", "functional": "PBE", "state": "optimized geometry", "m_tot_mub_per_fu": 2.79, "space_group": "F-43m, No. 216", "lattice_angstrom": [[0.000, 3.531, 3.531], [3.531, 0.000, 3.531], [3.531, 3.531, 0.000]], "species": ["Tl", "Tc", "Hg", "Hg"], "fractional_positions": [[0.000, 0.000, 0.000], [0.750, 0.750, 0.750], [0.250, 0.250, 0.250], [0.500, 0.500, 0.500]]}

=====

Record 14
{"formula": "TlTcHg2", "functional": "PBE", "state": "optimized geometry", "m_tot_mub_per_fu": 1.95, "space_group": "P2/m, No. 10", "lattice_angstrom": [[3.251, 0.000, 0.000], [0.000, 4.829, 0.000], [-1.252, 0.000, 5.660]], "species": ["Tl", "Tc", "Hg", "Hg"], "fractional_positions": [[0.000, 0.000, 0.000], [0.000, 0.000, 0.500], [0.378, 0.500, 0.727], [0.622, 0.500, 0.273]]}

=====

Density of states at the Fermi level (computed, states/eV per atom): 0.8925 1.0056 1.8983 0.9042 0.8820 0.7985 0.5259 2.6377 0.6400 0.7722 0.9461 1.0142 0.7955 0.6400
E_tot (computed, eV/cell): -26.4 -32.1 -13.2 -50.9 -28.3 -27.5 -11.1 -22.3 -12.6 -20.3 -13.4 -20.4 -10.2 -10.8
ΔE_f (computed, kJ/mol of atoms): 54 44 115 24 -30 -11 55 222 68 74 48 72 75 61